Entry 1:
Compound: ReSb2PtI
Source: the Alexandria database
Functional: PBE
Structure: optimized geometry

Values from the calculation:
**Energy**: -4.56 eV/atom
**Total magnetic moment**: 0.000 μB per cell
**Relative energy among the computed polymorphs**: 0 meV/atom
**SG**: No. 123
**V**: 28.243 Å³ per atom
**Formation energy from raw total energies**: 1.10 eV per atom

a b c (Å): 5.062 5.062 5.512
angles (deg): 90.00 90.00 90.00
Atoms (fractional coordinates):
Re (0.000, 0.000, 0.000)
Sb (0.000, 0.500, 0.000)
Sb (0.500, 0.000, 0.000)
Pt (0.500, 0.500, 0.500)
I (0.000, 0.000, 0.500)

***

Entry 2:
Compound: SmCd2Au8
Source: the Alexandria database
Functional: PBE
Structure: optimized geometry

Values from the calculation:
**Energy**: -3.25 eV/atom
**Total magnetic moment**: 0.000 μB per cell
**Relative energy among the computed polymorphs**: 29 meV/atom
**Calculated formation energy**: -0.272 eV per atom
**SG**: No. 12
**V**: 20.698 Å³ per atom

a b c (Å): 8.001 8.001 5.195
angles (deg): 108.59 108.59 118.69
Atoms (fractional coordinates):
Sm (0.000, 0.000, 0.000)
Cd (0.313, 0.687, 0.500)
Cd (0.687, 0.313, 0.500)
Au (0.088, 0.331, 0.638)
Au (0.218, 0.782, 0.000)
Au (0.331, 0.088, 0.638)
Au (0.438, 0.438, 0.192)
Au (0.562, 0.562, 0.808)
Au (0.669, 0.912, 0.362)
Au (0.782, 0.218, 0.000)
Au (0.912, 0.669, 0.362)

***

Entry 3:
Compound: Nd7ThTl4
Source: the Alexandria database
Functional: PBE
Structure: optimized geometry

Values from the calculation:
**Energy**: -4.23 eV/atom
**Total magnetic moment**: 0.000 μB per cell
**Calculated formation energy**: -0.044 eV per atom
**SG**: No. 12
**V**: 32.553 Å³ per atom

a b c (Å): 8.082 8.082 10.006
angles (deg): 118.40 118.40 44.14
Atoms (fractional coordinates):
Nd (0.000, 0.000, 0.000)
Nd (0.241, 0.241, 0.693)
Nd (0.303, 0.303, 0.115)
Nd (0.436, 0.436, 0.604)
Nd (0.564, 0.564, 0.396)
Nd (0.697, 0.697, 0.885)
Nd (0.759, 0.759, 0.307)
Th (0.500, 0.500, 0.000)
Tl (0.041, 0.041, 0.707)
Tl (0.189, 0.189, 0.339)
Tl (0.811, 0.811, 0.661)
Tl (0.959, 0.959, 0.293)